CaPPt | PBE | relaxed

abc: 7.0411 7.2163 7.1909
angles: 69.08 47.09 69.25
Fractional coordinates of all 12 atoms:
Ca 0.7739 0.4120 0.0185
Ca 0.2255 0.1109 0.4710
Ca 0.2261 0.5880 0.9815
Ca 0.7745 0.8891 0.5290
Pt 0.6074 0.6844 0.3500
Pt 0.3629 0.8404 0.1412
Pt 0.3926 0.3156 0.6500
Pt 0.6371 0.1596 0.8588
P 0.8018 0.4250 0.5142
P 0.2130 0.0190 0.9081
P 0.7870 0.9810 0.0919
P 0.1982 0.5750 0.4858

Properties
Density of states at the Fermi level ... 0.3 states/eV/f.u.
E_form ... -2.94 eV per formula unit